! PBE+U Tb2CoO5, optimized geometry; values from VASP
&SYSTEM
  ibrav = 0, nat = 32, ntyp = 3
/
ATOMIC_SPECIES
Tb 158.93 Tb.upf
Co 58.93 Co.upf
O 16.00 O.upf
CELL_PARAMETERS angstrom
10.354 0.000 0.000
0.000 3.731 0.000
0.000 0.000 11.215
ATOMIC_POSITIONS crystal
Tb 0.105 0.250 0.222
Tb 0.138 0.250 0.556
Tb 0.362 0.750 0.056
Tb 0.395 0.750 0.722
Tb 0.605 0.250 0.278
Tb 0.638 0.250 0.944
Tb 0.862 0.750 0.444
Tb 0.895 0.750 0.778
Co 0.183 0.250 0.877
Co 0.317 0.750 0.377
Co 0.683 0.250 0.623
Co 0.817 0.750 0.123
O 0.011 0.750 0.603
O 0.019 0.250 0.836
O 0.220 0.250 0.038
O 0.236 0.750 0.228
O 0.241 0.750 0.879
O 0.259 0.250 0.379
O 0.264 0.250 0.728
O 0.280 0.750 0.538
O 0.481 0.750 0.336
O 0.489 0.250 0.103
O 0.511 0.750 0.897
O 0.519 0.250 0.664
O 0.720 0.250 0.462
O 0.736 0.750 0.272
O 0.741 0.750 0.621
O 0.759 0.250 0.121
O 0.764 0.250 0.772
O 0.780 0.750 0.962
O 0.981 0.750 0.164
O 0.989 0.250 0.397
! SG ... Pnma, No. 62
! Calculated volume ... 108.31 Å³/f.u.
! Final energy ... -7.390 eV per atom